Entry 1:
Density functional theory data (PBE-GGA) for a relaxed Y2Er3Sc crystal.

The structure belongs to space group C2/c (No. 15); the cell edges are 17.0826, 6.4312 and 6.7071 Å and the angles 90.00°, 93.86° and 90.00°. Symmetry generates all atoms from Y at (0.1834, 0.0662, 0.1846), Er at (0.0000, 0.1786, 0.7500), Er at (0.1427, 0.4589, 0.5197) and Sc at (0.0000, 0.3148, 0.2500).

The calculation puts the total energy at -128.889 eV/cell. As for the formation energy: 121 meV per atom. The calculation puts the distance to the lowest polymorph of the same formula at 101 meV/atom.

***

Entry 2:
Density functional theory data (PBE-GGA) for a relaxed NdPuCuSn crystal.

The structure belongs to space group F-43m (No. 216); the cell edges are 7.4478, 7.4478 and 7.4478 Å and the angles 90.00°, 90.00° and 90.00°. Symmetry generates all atoms from Nd at (0.0000, 0.0000, 0.0000), Pu at (0.0000, 0.0000, 0.5000), Cu at (0.2500, 0.2500, 0.2500) and Sn at (0.2500, 0.2500, 0.7500).

The calculation puts the total energy at -112.406 eV/cell. As for the formation energy: -226 meV per atom.